Record 1
# MnBSCl2

A geometry-optimized MnBSCl2 structure (GGA-PBE, Alexandria via LeMat-Bulk).

abc: 4.260 4.260 4.537
angles: 90.00 90.00 90.00
Element x y z (fractional)
1 Mn 0.000 0.000 0.000
2 B 0.500 0.500 0.500
3 S 0.500 0.500 0.000
4 Cl 0.000 0.500 0.500
5 Cl 0.500 0.000 0.500

Values from the calculation:
The value obtained for the volume is 82.4 Å³/f.u. The calculation puts the energy above the most stable polymorph in this dataset at 0 kJ/mol of formula units. The total magnetization comes out at 4.96 μB per formula unit. As for the space-group type: No. 123. As for the uncorrected formation energy: 1.85 eV per formula unit.

Record 2
# TlReSe2

A geometry-optimized TlReSe2 structure (GGA-PBE, Alexandria via LeMat-Bulk).

abc: 4.136 4.136 4.660
angles: 90.00 90.00 90.00
Element x y z (fractional)
1 Tl 0.000 0.000 0.000
2 Re 0.500 0.500 0.000
3 Se 0.000 0.500 0.500
4 Se 0.500 0.000 0.500

Values from the calculation:
The value obtained for the volume is 79.7 Å³/f.u. The calculation puts the energy above the most stable polymorph in this dataset at 428 kJ/mol of formula units. The total magnetization comes out at 0.60 μB per formula unit. As for the space-group type: No. 123. As for the uncorrected formation energy: 4.45 eV per formula unit.

Record 3
# NaAcGe4

A geometry-optimized NaAcGe4 structure (GGA-PBE, Alexandria via LeMat-Bulk).

abc: 5.809 5.809 5.809
angles: 60.00 60.00 60.00
Element x y z (fractional)
1 Na 0.000 0.000 0.000
2 Ac 0.250 0.250 0.250
3 Ge 0.127 0.624 0.624
4 Ge 0.624 0.127 0.624
5 Ge 0.624 0.624 0.127
6 Ge 0.624 0.624 0.624

Values from the calculation:
As for the formation energy: -0.3011 eV per atom. The value obtained for the volume is 138.6 Å³/f.u. The calculation puts the energy above the most stable polymorph in this dataset at 0 kJ/mol of formula units. The total magnetization comes out at 0.00 μB per formula unit. As for the space-group type: No. 216.

Record 4
# Li3TlPd4

A geometry-optimized Li3TlPd4 structure (GGA-PBE, Alexandria via LeMat-Bulk).

abc: 4.292 4.292 6.515
angles: 90.00 90.00 90.00
Element x y z (fractional)
1 Li 0.000 0.000 0.000
2 Li 0.000 0.000 0.500
3 Li 0.500 0.500 0.000
4 Tl 0.500 0.500 0.500
5 Pd 0.000 0.500 0.226
6 Pd 0.000 0.500 0.774
7 Pd 0.500 0.000 0.226
8 Pd 0.500 0.000 0.774

Values from the calculation:
As for the formation energy: -0.4095 eV per atom. The value obtained for the volume is 120.0 Å³/f.u. The calculation puts the energy above the most stable polymorph in this dataset at 0 kJ/mol of formula units. The total magnetization comes out at 0.00 μB per formula unit. As for the space-group type: No. 123.

Record 5
# PrNdCdSn

A geometry-optimized PrNdCdSn structure (GGA-PBE, Alexandria via LeMat-Bulk).

abc: 7.729 7.729 7.729
angles: 90.00 90.00 90.00
Element x y z (fractional)
1 Pr 0.000 0.000 0.000
2 Pr 0.000 0.500 0.500
3 Pr 0.500 0.000 0.500
4 Pr 0.500 0.500 0.000
5 Nd 0.000 0.000 0.500
6 Nd 0.000 0.500 0.000
7 Nd 0.500 0.000 0.000
8 Nd 0.500 0.500 0.500
9 Cd 0.250 0.250 0.250
10 Cd 0.250 0.750 0.750
11 Cd 0.750 0.250 0.750
12 Cd 0.750 0.750 0.250
13 Sn 0.250 0.250 0.750
14 Sn 0.250 0.750 0.250
15 Sn 0.750 0.250 0.250
16 Sn 0.750 0.750 0.750

Values from the calculation:
As for the formation energy: -0.5385 eV per atom. The value obtained for the volume is 115.4 Å³/f.u. The total magnetization comes out at 0.00 μB per formula unit. As for the space-group type: No. 216.

Record 6
# PrBeP2O8

A geometry-optimized PrBeP2O8 structure (GGA-PBE, Alexandria via LeMat-Bulk).

abc: 5.004 5.004 6.510
angles: 90.00 90.00 120.00
Element x y z (fractional)
1 Pr 0.000 0.000 0.000
2 Be 0.000 0.000 0.500
3 P 0.333 0.667 0.745
4 P 0.667 0.333 0.255
5 O 0.164 0.328 0.675
6 O 0.164 0.836 0.675
7 O 0.328 0.164 0.325
8 O 0.333 0.667 0.984
9 O 0.667 0.333 0.016
10 O 0.672 0.836 0.675
11 O 0.836 0.164 0.325
12 O 0.836 0.672 0.325

Values from the calculation:
The value obtained for the volume is 141.2 Å³/f.u. The total magnetization comes out at 0.00 μB per formula unit. As for the space-group type: No. 164. As for the uncorrected formation energy: -28.68 eV per formula unit.

Record 7
# K3RbB

A geometry-optimized K3RbB structure (GGA-PBE, Alexandria via LeMat-Bulk).

abc: 7.712 7.712 7.712
angles: 90.00 90.00 90.00
Element x y z (fractional)
1 K 0.000 0.000 0.500
2 K 0.000 0.500 0.000
3 K 0.500 0.000 0.000
4 Rb 0.000 0.000 0.000
5 B 0.500 0.500 0.500

Values from the calculation:
As for the formation energy: 1.3887 eV per atom. The value obtained for the volume is 458.7 Å³/f.u. The calculation puts the energy above the most stable polymorph in this dataset at 324 kJ/mol of formula units. The total magnetization comes out at 1.55 μB per formula unit. As for the space-group type: No. 221.

Record 8
# Ho5Er2Te4

A geometry-optimized Ho5Er2Te4 structure (GGA-PBE, Alexandria via LeMat-Bulk).

abc: 12.646 12.646 7.203
angles: 94.28 94.28 17.57
Element x y z (fractional)
1 Ho 0.000 0.000 0.000
2 Ho 0.356 0.356 0.850
3 Ho 0.411 0.411 0.315
4 Ho 0.589 0.589 0.685
5 Ho 0.644 0.644 0.150
6 Er 0.264 0.264 0.213
7 Er 0.736 0.736 0.787
8 Te 0.171 0.171 0.500
9 Te 0.466 0.466 0.701
10 Te 0.534 0.534 0.299
11 Te 0.829 0.829 0.500

Values from the calculation:
The value obtained for the volume is 346.6 Å³/f.u. The total magnetization comes out at 0.00 μB per formula unit. As for the space-group type: No. 12. As for the uncorrected formation energy: -7.44 eV per formula unit.